The following is a DFT calculation (PBE with a Hubbard U) of an optimized crystal structure of Dy2NpCoO8. Values from VASP.

Results
The raw total energy is -8.1569 eV per atom. As for the space group: P2/m (10).

```
&SYSTEM
  ibrav = 0, nat = 12, ntyp = 4
/
ATOMIC_SPECIES
Dy 162.50 Dy.upf
Np 237.00 Np.upf
Co 58.93 Co.upf
O 16.00 O.upf
CELL_PARAMETERS angstrom
4.9391 0.0000 0.0000
0.0000 6.8698 0.0000
-0.3050 0.0000 4.9320
ATOMIC_POSITIONS crystal
Dy 0.0000 0.2392 0.0000
Dy 0.0000 0.7608 0.0000
Np 0.5000 0.5000 0.5000
Co 0.5000 0.0000 0.5000
O 0.2051 0.5000 0.1996
O 0.2302 0.0000 0.2277
O 0.3152 0.2739 0.6807
O 0.3152 0.7261 0.6807
O 0.6848 0.2739 0.3193
O 0.6848 0.7261 0.3193
O 0.7698 0.0000 0.7723
O 0.7949 0.5000 0.8004
```